Entry 1:
Tb3Pr2Os2 (PBE, relaxed); calculated density = 9.8 g cm⁻³; energy of formation = -15.29 kJ per mole of atoms; E = -6.7169 eV/atom
1.0
6.099 -1.990 0.000
6.099 1.990 0.000
-3.660 0.000 7.924
Tb Pr Os
3 2 2
Direct
0.000 0.000 0.000 Tb
0.125 0.125 0.426 Tb
0.875 0.875 0.574 Tb
0.338 0.338 0.197 Pr
0.662 0.662 0.803 Pr
0.324 0.324 0.774 Os
0.676 0.676 0.226 Os

***

Entry 2:
CrFeAg2 (PBE, relaxed); calculated density = 8.5 g cm⁻³; energy of formation = 53.36 kJ per mole of atoms; ΔE to the lowest computed polymorph = 226 meV per atom; E = -5.3942 eV/atom
1.0
4.686 -1.394 0.000
4.686 1.394 0.000
-1.045 0.000 4.814
Cr Fe Ag
1 1 2
Direct
0.000 0.000 0.000 Cr
0.269 0.269 0.754 Fe
0.516 0.516 0.517 Ag
0.755 0.755 0.241 Ag

***

Entry 3:
NaTc2HPt (PBE, relaxed); calculated density = 5.2 g cm⁻³; ΔE to the lowest computed polymorph = 1304 meV per atom; E = -4.5384 eV/atom
1.0
4.840 0.000 0.000
0.000 4.840 0.000
0.000 0.000 5.622
Na Tc H Pt
1 2 1 1
Direct
0.000 0.000 0.000 Na
0.000 0.500 0.500 Tc
0.500 0.000 0.500 Tc
0.500 0.500 0.000 H
0.000 0.000 0.500 Pt

***

Entry 4:
Tl3CuHg3O8 (PBE, relaxed); calculated density = 9.6 g cm⁻³; E = -3.8354 eV/atom; formation energy without anion corrections = -384 meV/atom
1.0
6.066 -3.363 0.000
6.066 3.363 0.000
-2.953 0.000 5.951
Tl Cu Hg O
3 1 3 8
Direct
0.000 0.000 0.000 Tl
0.000 0.500 0.000 Tl
0.500 0.000 0.000 Tl
0.500 0.500 0.000 Cu
0.000 0.500 0.500 Hg
0.500 0.000 0.500 Hg
0.500 0.500 0.500 Hg
0.212 0.212 0.190 O
0.251 0.666 0.170 O
0.257 0.257 0.709 O
0.334 0.749 0.830 O
0.666 0.251 0.170 O
0.743 0.743 0.291 O
0.749 0.334 0.830 O
0.788 0.788 0.810 O